(1)
Density functional theory data (GGA-PBE) for a relaxed structure of K3Er3GaO8.

SG: R-3m (166)
Raw total energy in eV/atom: -6.431

Cell and atoms, written as CIF:
```
data_K3Er3GaO8
_cell_length_a 7.3722
_cell_length_b 7.3722
_cell_length_c 7.3722
_cell_angle_alpha 54.23
_cell_angle_beta 54.23
_cell_angle_gamma 54.23
_space_group_name_H-M_alt 'P 1'
_space_group_IT_number 1
_space_group_name_Hall 'P 1'
loop_
_atom_site_label
_atom_site_fract_x
_atom_site_fract_y
_atom_site_fract_z
K1 0.0000 0.5000 0.5000
K2 0.5000 0.0000 0.5000
K3 0.5000 0.5000 0.0000
Er1 0.0000 0.0000 0.5000
Er2 0.0000 0.5000 0.0000
Er3 0.5000 0.0000 0.0000
Ga1 0.5000 0.5000 0.5000
O1 0.2272 0.2272 0.2272
O2 0.2480 0.7118 0.7118
O3 0.2882 0.2882 0.7520
O4 0.2882 0.7520 0.2882
O5 0.7118 0.2480 0.7118
O6 0.7118 0.7118 0.2480
O7 0.7520 0.2882 0.2882
O8 0.7728 0.7728 0.7728
```

(2)
Density functional theory data (GGA-PBE) for a relaxed structure of Hg2AuI.

SG: Fm-3m (225)
Raw total energy in eV/atom: -0.999
Energy above the most stable polymorph in this dataset in meV/atom: 337.9

Cell and atoms, written as CIF:
```
data_Hg2AuI
_cell_length_a 5.3478
_cell_length_b 5.3478
_cell_length_c 5.3478
_cell_angle_alpha 60.00
_cell_angle_beta 60.00
_cell_angle_gamma 60.00
_space_group_name_H-M_alt 'P 1'
_space_group_IT_number 1
_space_group_name_Hall 'P 1'
loop_
_atom_site_label
_atom_site_fract_x
_atom_site_fract_y
_atom_site_fract_z
Hg1 0.2500 0.2500 0.2500
Hg2 0.7500 0.7500 0.7500
Au1 0.0000 0.0000 0.0000
I1 0.5000 0.5000 0.5000
```

(3)
Density functional theory data (GGA-PBE) for a relaxed structure of GdTmGa.

Formation energy in meV/atom: -374.6
SG: I4mm (107)
Raw total energy in eV/atom: -7.568
Energy above the most stable polymorph in this dataset in meV/atom: 0.0

Cell and atoms, written as CIF:
```
data_GdTmGa
_cell_length_a 6.9318
_cell_length_b 6.9318
_cell_length_c 6.9318
_cell_angle_alpha 150.98
_cell_angle_beta 150.98
_cell_angle_gamma 41.51
_space_group_name_H-M_alt 'P 1'
_space_group_IT_number 1
_space_group_name_Hall 'P 1'
loop_
_atom_site_label
_atom_site_fract_x
_atom_site_fract_y
_atom_site_fract_z
Gd1 0.0000 0.0000 0.0000
Tm1 0.2912 0.2912 0.0000
Ga1 0.6506 0.6506 0.0000
```

(4)
Density functional theory data (GGA-PBE) for a relaxed structure of Rb12Zn3F5.

SG: Ia-3d (230)
Raw total energy in eV/atom: -2.408

Cell and atoms, written as CIF:
```
data_Rb12Zn3F5
_cell_length_a 16.3822
_cell_length_b 16.3822
_cell_length_c 16.3822
_cell_angle_alpha 109.47
_cell_angle_beta 109.47
_cell_angle_gamma 109.47
_space_group_name_H-M_alt 'P 1'
_space_group_IT_number 1
_space_group_name_Hall 'P 1'
loop_
_atom_site_label
_atom_site_fract_x
_atom_site_fract_y
_atom_site_fract_z
Rb1 0.0097 0.1929 0.1129
Rb2 0.0097 0.3169 0.8968
Rb3 0.0800 0.6929 0.6831
Rb4 0.0800 0.8871 0.3968
Rb5 0.1032 0.6129 0.4200
Rb6 0.1032 0.9903 0.6831
Rb7 0.1129 0.0097 0.1929
Rb8 0.1129 0.6032 0.9200
Rb9 0.1831 0.1929 0.5800
Rb10 0.1831 0.4903 0.6032
Rb11 0.1929 0.1129 0.0097
Rb12 0.1929 0.5800 0.1831
Rb13 0.3071 0.3169 0.9200
Rb14 0.3071 0.4903 0.3871
Rb15 0.3169 0.8968 0.0097
Rb16 0.3169 0.9200 0.3071
Rb17 0.3871 0.3071 0.4903
Rb18 0.3871 0.5800 0.8968
Rb19 0.3968 0.0800 0.8871
Rb20 0.3968 0.8169 0.5097
Rb21 0.4200 0.1032 0.6129
Rb22 0.4200 0.8169 0.8071
Rb23 0.4903 0.3871 0.3071
Rb24 0.4903 0.6032 0.1831
Rb25 0.5097 0.3968 0.8169
Rb26 0.5097 0.6129 0.6929
Rb27 0.5800 0.1831 0.1929
Rb28 0.5800 0.8968 0.3871
Rb29 0.6032 0.1831 0.4903
Rb30 0.6032 0.9200 0.1129
Rb31 0.6129 0.4200 0.1032
Rb32 0.6129 0.6929 0.5097
Rb33 0.6831 0.0800 0.6929
Rb34 0.6831 0.1032 0.9903
Rb35 0.6929 0.5097 0.6129
Rb36 0.6929 0.6831 0.0800
Rb37 0.8071 0.4200 0.8169
Rb38 0.8071 0.8871 0.9903
Rb39 0.8169 0.5097 0.3968
Rb40 0.8169 0.8071 0.4200
Rb41 0.8871 0.3968 0.0800
Rb42 0.8871 0.9903 0.8071
Rb43 0.8968 0.0097 0.3169
Rb44 0.8968 0.3871 0.5800
Rb45 0.9200 0.1129 0.6032
Rb46 0.9200 0.3071 0.3169
Rb47 0.9903 0.6831 0.1032
Rb48 0.9903 0.8071 0.8871
Zn1 0.1250 0.2500 0.3750
Zn2 0.1250 0.3750 0.7500
Zn3 0.2500 0.3750 0.1250
Zn4 0.2500 0.8750 0.6250
Zn5 0.3750 0.1250 0.2500
Zn6 0.3750 0.7500 0.1250
Zn7 0.6250 0.2500 0.8750
Zn8 0.6250 0.8750 0.7500
Zn9 0.7500 0.1250 0.3750
Zn10 0.7500 0.6250 0.8750
Zn11 0.8750 0.6250 0.2500
Zn12 0.8750 0.7500 0.6250
F1 0.0000 0.0000 0.0000
F2 0.0000 0.0000 0.5000
F3 0.0000 0.5000 0.0000
F4 0.0000 0.5000 0.5000
F5 0.1250 0.7500 0.8750
F6 0.1250 0.8750 0.2500
F7 0.2500 0.1250 0.8750
F8 0.2500 0.6250 0.3750
F9 0.3750 0.2500 0.6250
F10 0.3750 0.6250 0.7500
F11 0.5000 0.0000 0.0000
F12 0.5000 0.0000 0.5000
F13 0.5000 0.5000 0.0000
F14 0.5000 0.5000 0.5000
F15 0.6250 0.3750 0.2500
F16 0.6250 0.7500 0.3750
F17 0.7500 0.3750 0.6250
F18 0.7500 0.8750 0.1250
F19 0.8750 0.1250 0.7500
F20 0.8750 0.2500 0.1250
```

(5)
Density functional theory data (GGA-PBE) for a relaxed structure of YPbIN2.

SG: P4/mmm (123)
Raw total energy in eV/atom: -5.147
Energy above the most stable polymorph in this dataset in meV/atom: 0.0

Cell and atoms, written as CIF:
```
data_YPbIN2
_cell_length_a 4.5907
_cell_length_b 4.5907
_cell_length_c 6.0405
_cell_angle_alpha 90.00
_cell_angle_beta 90.00
_cell_angle_gamma 90.00
_space_group_name_H-M_alt 'P 1'
_space_group_IT_number 1
_space_group_name_Hall 'P 1'
loop_
_atom_site_label
_atom_site_fract_x
_atom_site_fract_y
_atom_site_fract_z
Y1 0.0000 0.0000 0.0000
Pb1 0.5000 0.5000 0.5000
I1 0.0000 0.0000 0.5000
N1 0.0000 0.5000 0.0000
N2 0.5000 0.0000 0.0000
```

(6)
Density functional theory data (GGA-PBE) for a relaxed structure of Ba2NF.

SG: Cm (8)
Raw total energy in eV/atom: -5.198
Energy above the most stable polymorph in this dataset in meV/atom: 24.2

Cell and atoms, written as CIF:
```
data_Ba2NF
_cell_length_a 3.9674
_cell_length_b 3.9674
_cell_length_c 7.3259
_cell_angle_alpha 105.09
_cell_angle_beta 105.09
_cell_angle_gamma 60.12
_space_group_name_H-M_alt 'P 1'
_space_group_IT_number 1
_space_group_name_Hall 'P 1'
loop_
_atom_site_label
_atom_site_fract_x
_atom_site_fract_y
_atom_site_fract_z
Ba1 0.0000 0.0000 0.0000
Ba2 0.1939 0.1939 0.5597
N1 0.5988 0.5988 0.7789
F1 0.4279 0.4279 0.2703
```